Entry 1:
A relaxed Ca2Co2N crystal, computed with PBE.

```
data_Ca2Co2N
_cell_length_a 3.1740
_cell_length_b 3.1740
_cell_length_c 16.2660
_cell_angle_alpha 90.00
_cell_angle_beta 90.00
_cell_angle_gamma 90.00
_symmetry_space_group_name_H-M 'I 4/m m m'
_symmetry_Int_Tables_number 139
_symmetry_space_group_name_Hall '-I 4 2'
loop_
_atom_site_label
_atom_site_fract_x
_atom_site_fract_y
_atom_site_fract_z
Ca1 0.0000 0.0000 0.0828
Co1 0.0000 0.5000 0.2500
N1 0.0000 0.0000 0.5000
```

Values from the calculation:
* energy relative to the elements, uncorrected: 0.019 eV/atom
* crystal system: tetragonal

***

Entry 2:
A relaxed AgBPd4 crystal, computed with PBE.

```
data_AgBPd4
_cell_length_a 13.6235
_cell_length_b 5.6341
_cell_length_c 4.8755
_cell_angle_alpha 90.00
_cell_angle_beta 110.90
_cell_angle_gamma 90.00
_symmetry_space_group_name_H-M 'C 1 2/m 1'
_symmetry_Int_Tables_number 12
loop_
_symmetry_equiv_pos_as_xyz
'x,y,z'
'-x,-y,-z'
'-x,y,-z'
'x,-y,z'
'x+1/2,y+1/2,z'
'-x+1/2,-y+1/2,-z'
'-x+1/2,y+1/2,-z'
'x+1/2,-y+1/2,z'
loop_
_atom_site_label
_atom_site_fract_x
_atom_site_fract_y
_atom_site_fract_z
Ag1 0.1935 0.0000 0.1932
B1 0.0003 0.5000 0.3131
Pd1 0.0000 0.2434 0.0000
Pd2 0.1138 0.2485 0.6138
Pd3 0.1895 0.5000 0.1896
```

Values from the calculation:
* crystal system: monoclinic
* ΔE_f: -0.12 eV/atom

***

Entry 3:
A relaxed CdH3F crystal, computed with PBE.

```
data_CdH3F
_cell_length_a 3.6443
_cell_length_b 3.6443
_cell_length_c 3.6443
_cell_angle_alpha 90.00
_cell_angle_beta 90.00
_cell_angle_gamma 90.00
_symmetry_space_group_name_H-M 'P m -3 m'
_symmetry_Int_Tables_number 221
_symmetry_space_group_name_Hall '-P 4 2 3'
loop_
_atom_site_label
_atom_site_fract_x
_atom_site_fract_y
_atom_site_fract_z
Cd1 0.0000 0.0000 0.0000
H1 0.0000 0.0000 0.5000
F1 0.5000 0.5000 0.5000
```

Values from the calculation:
* crystal system: cubic

***

Number 1: electronic total energy -52.889 eV for the cell shown, volume 16.39 A^3/atom, magnetization 6.10 Bohr magnetons per cell. Number 2: electronic total energy -124.189 eV for the cell shown, volume 14.57 A^3/atom, magnetization 0.00 Bohr magnetons per cell. Number 3: electronic total energy -11.329 eV for the cell shown, volume 9.68 A^3/atom, magnetization 0.00 Bohr magnetons per cell.